DFT (PBE-GGA) results for a geometry-optimized RbAlNi2H8 structure.

Lattice parameters (Å, degrees): 4.528 4.528 7.301 71.93 71.93 60.00
Each line ends with the local moment (μB).
Element x y z (fractional)
Rb 0.500 0.500 0.500  0.00
Al 0.000 0.000 0.000  0.01
Ni 0.301 0.301 0.098  0.10
Ni 0.699 0.699 0.902  0.10
H 0.227 0.227 0.318  0.00
H 0.625 0.289 0.147  0.01
H 0.773 0.773 0.682  0.00
H 0.939 0.625 0.147  0.01
H 0.061 0.375 0.853  0.01
H 0.289 0.939 0.147  0.01
H 0.711 0.061 0.853  0.01
H 0.375 0.711 0.853  0.01

Values from the calculation:
Calculated total energy in eV/atom: -3.556
M_tot in μB per cell: 0.291